Here is an optimized crystal structure of MgVN2F from Alexandria. Energies are from PBE with a Hubbard U.

Lattice parameters (Å, degrees): 3.835 3.835 3.842 90.00 90.00 90.00
Element x y z (fractional)
Mg (0.000, 0.000, 0.000)
V (0.500, 0.500, 0.500)
N (0.000, 0.500, 0.500)
N (0.500, 0.000, 0.500)
F (0.500, 0.500, 0.000)

Properties
E, eV/atom: -6.020
E above lowest polymorph, meV/atom: 0
Mass density, g/cm3: 3.59